[1]
Material: AlGaF3
Method: DFT, meta-GGA SCAN
State: single point on PBEsol structure

Values from the calculation:
Raw total energy   -9.094 eV per atom
Total magnetization   0.0 μB/f.u.
Formation energy without anion corrections   -10.75 eV per formula unit

Geometry as CIF:
```
data_AlGaF3
_space_group_name_H-M_alt 'P m -3 m'
_space_group_IT_number 221
_space_group_name_Hall '-P 4 2 3'
_cell_length_a 4.012
_cell_length_b 4.012
_cell_length_c 4.012
_cell_angle_alpha 90.00
_cell_angle_beta 90.00
_cell_angle_gamma 90.00
loop_
_atom_site_label
_atom_site_type_symbol
_atom_site_fract_x
_atom_site_fract_y
_atom_site_fract_z
Al1 Al 0.000 0.000 0.000
Ga1 Ga 0.500 0.500 0.500
F1 F 0.000 0.000 0.500
```


[2]
Material: LaAlGa2F
Method: DFT, meta-GGA SCAN
State: single point on PBEsol structure

Values from the calculation:
Raw total energy   -18.181 eV per atom
Total magnetization   0.0 μB/f.u.
Formation energy without anion corrections   -3.82 eV per formula unit

Geometry as CIF:
```
data_LaAlGa2F
_space_group_name_H-M_alt 'P 4/m m m'
_space_group_IT_number 123
_space_group_name_Hall '-P 4 2'
_cell_length_a 4.886
_cell_length_b 4.886
_cell_length_c 4.151
_cell_angle_alpha 90.00
_cell_angle_beta 90.00
_cell_angle_gamma 90.00
loop_
_atom_site_label
_atom_site_type_symbol
_atom_site_fract_x
_atom_site_fract_y
_atom_site_fract_z
La1 La 0.000 0.000 0.000
Al1 Al 0.500 0.500 0.000
Ga1 Ga 0.000 0.500 0.500
F1 F 0.500 0.500 0.500
```


Q: Number 2 is which compound?
A: LaAlGa2F